A geometry-optimized DyIn2Hg structure. Source: Alexandria via LeMat-Bulk, functional GGA-PBE.

a = 4.5919 Å, b = 4.6088 Å, c = 4.6088 Å
α = 90.00°, β = 90.00°, γ = 90.00°
With the nearest neighbours (Å) after each atom.
Positions (direct):
In1 0.0000 0.5000 0.0000  4 Hg 3.25, 4 Dy 3.25, 4 In 3.26
In2 0.0000 0.0000 0.5000  4 Hg 3.25, 4 Dy 3.25, 4 In 3.26
Dy1 0.5000 0.5000 0.5000  8 In 3.25, 4 Hg 3.26
Hg1 0.5000 0.0000 0.0000  8 In 3.25, 4 Dy 3.26

Values from the calculation:
E above lowest polymorph   0 meV per atom
Total magnetization   0.0 μB/f.u.
E_form   -0.388 eV per atom